The following is a PBE-GGA calculation of an optimized crystal structure of Ti2NiH, from Alexandria.

abc: 2.741 2.741 7.509
angles: 79.48 79.48 60.00
Atoms (fractional coordinates):
Ni1 0.000 0.000 0.000
H1 0.500 0.500 0.500
Ti1 0.107 0.107 0.679
Ti2 0.893 0.893 0.321

Summary:
The value obtained for the distance to the lowest polymorph of the same formula is 382 meV per atom. Its density of states at the Fermi level is 4.6 states/eV per cell.

***

The following is a PBE-GGA calculation of an optimized crystal structure of Ti3NiH, from Alexandria.

abc: 3.979 3.979 3.979
angles: 90.00 90.00 90.00
Atoms (fractional coordinates):
Ni1 0.500 0.500 0.500
H1 0.000 0.000 0.000
Ti1 0.000 0.500 0.000
Ti2 0.000 0.000 0.500
Ti3 0.500 0.000 0.000

Summary:
The value obtained for the distance to the lowest polymorph of the same formula is 0 meV per atom. Its density of states at the Fermi level is 7.1 states/eV per cell.

***

The following is a PBE-GGA calculation of an optimized crystal structure of TiNiH, from Alexandria.

abc: 8.868 6.863 9.881
angles: 90.00 90.00 90.00
Atoms (fractional coordinates):
Ni1 0.443 0.078 0.763
Ni2 0.020 0.829 0.540
Ni3 0.394 0.540 0.091
Ni4 0.791 0.618 0.872
Ni5 0.894 0.960 0.909
Ni6 0.557 0.578 0.737
Ni7 0.709 0.382 0.372
Ni8 0.175 0.267 0.393
Ni9 0.675 0.233 0.607
Ni10 0.980 0.329 0.960
Ni11 0.057 0.922 0.263
Ni12 0.209 0.118 0.628
Ni13 0.480 0.171 0.040
Ni14 0.825 0.767 0.107
Ni15 0.520 0.671 0.460
Ni16 0.106 0.460 0.591
Ni17 0.291 0.882 0.128
Ni18 0.325 0.733 0.893
Ni19 0.943 0.422 0.237
Ni20 0.606 0.040 0.409
H1 0.026 0.667 0.259
H2 0.974 0.167 0.241
H3 0.376 0.081 0.196
H4 0.526 0.833 0.741
H5 0.906 0.517 0.082
H6 0.769 0.994 0.338
H7 0.406 0.983 0.918
H8 0.731 0.006 0.838
H9 0.124 0.919 0.696
H10 0.790 0.286 0.014
H11 0.210 0.786 0.486
H12 0.876 0.419 0.804
H13 0.269 0.506 0.662
H14 0.231 0.494 0.162
H15 0.474 0.333 0.759
H16 0.624 0.581 0.304
H17 0.094 0.017 0.418
H18 0.594 0.483 0.582
H19 0.290 0.214 0.986
H20 0.710 0.714 0.514
Ti1 0.966 0.186 0.722
Ti2 0.222 0.602 0.347
Ti3 0.906 0.164 0.440
Ti4 0.822 0.521 0.607
Ti5 0.329 0.774 0.640
Ti6 0.278 0.398 0.847
Ti7 0.034 0.686 0.778
Ti8 0.778 0.102 0.153
Ti9 0.594 0.836 0.940
Ti10 0.406 0.336 0.560
Ti11 0.171 0.226 0.140
Ti12 0.534 0.814 0.222
Ti13 0.178 0.021 0.893
Ti14 0.094 0.664 0.060
Ti15 0.322 0.979 0.393
Ti16 0.671 0.274 0.860
Ti17 0.678 0.479 0.107
Ti18 0.722 0.898 0.653
Ti19 0.829 0.726 0.360
Ti20 0.466 0.314 0.278

Summary:
The value obtained for the distance to the lowest polymorph of the same formula is 118 meV per atom. Its density of states at the Fermi level is 41.4 states/eV per cell.

***

The following is a PBE-GGA calculation of an optimized crystal structure of Ti2NiH, from Alexandria.

abc: 2.761 2.761 6.049
angles: 90.00 90.00 90.00
Each line ends with the local moment (μB).
Atoms (fractional coordinates):
Ni1 0.500 0.500 0.500  0.24
H1 0.500 0.500 0.000  -0.01
Ti1 0.000 0.000 0.786  0.31
Ti2 0.000 0.000 0.214  0.31

Summary:
The value obtained for the distance to the lowest polymorph of the same formula is 271 meV per atom. Its density of states at the Fermi level is 4.4 states/eV per cell.